{"formula": "TbTm3Sc", "functional": "PBE", "state": "relaxed", "lattice_angstrom": [[6.0989, 0.0000, 0.0000], [3.0492, 5.7691, 0.0000], [0.0023, 3.0724, 8.3973]], "species": ["Tb", "Tb", "Tm", "Tm", "Tm", "Tm", "Tm", "Tm", "Sc", "Sc"], "frac_coords": [[0.1280, 0.4032, 0.3467], [0.8720, 0.5968, 0.6533], [0.0666, 0.1990, 0.0483], [0.2686, 0.7973, 0.4474], [0.3387, 0.9936, 0.7530], [0.6613, 0.0064, 0.2470], [0.7314, 0.2027, 0.5526], [0.9334, 0.8010, 0.9517], [0.4667, 0.4014, 0.8539], [0.5333, 0.5986, 0.1461]]}

{"formula": "Tb2Tm3Sc2", "functional": "PBE", "state": "relaxed", "lattice_angstrom": [[-4.7081, 4.7081, 4.7081], [4.7081, -4.7081, 4.7081], [4.7081, 4.7081, -4.7081]], "species": ["Tb", "Tb", "Tb", "Tb", "Tm", "Tm", "Tm", "Tm", "Tm", "Tm", "Sc", "Sc", "Sc", "Sc"], "frac_coords": [[0.0000, 0.8044, 0.5000], [0.5000, 0.0000, 0.8044], [0.6956, 0.6956, 0.6956], [0.8044, 0.5000, 0.0000], [0.1853, 0.7500, 0.9353], [0.2500, 0.5647, 0.3147], [0.3147, 0.2500, 0.5647], [0.5647, 0.3147, 0.2500], [0.7500, 0.9353, 0.1853], [0.9353, 0.1853, 0.7500], [0.0000, 0.3984, 0.5000], [0.1016, 0.1016, 0.1016], [0.3984, 0.5000, 0.0000], [0.5000, 0.0000, 0.3984]]}

Quick rundown of raw total energy, same order as above: -4.86, -4.82 eV per atom